ZrPb2F8: relaxed, PBE-GGA.

## Properties
SG: C2/m, No. 12
Final energy, eV per formula unit: -63.3
DOS at the Fermi energy, states/eV per cell: 0.0
Energy relative to the lowest polymorph listed for this composition, meV/atom: 44
Total magnetization, Bohr magnetons per cell: 0.00

Cell and atoms, written as extended XYZ:
```
11
Lattice="7.9245 -1.9589 0.0000 7.9245 1.9589 0.0000 -1.6043 0.0000 5.3332" Properties=species:S:1:pos:R:3 pbc="T T T"
Zr 0.0000 0.0000 0.0000
Pb 4.7056 0.0000 1.8990
Pb 9.5390 0.0000 3.4342
F 0.8677 0.0000 1.9110
F 0.4091 0.0000 4.8592
F 3.1155 0.0000 3.7528
F 7.4712 0.0000 1.0611
F 6.7734 0.0000 4.2722
F 11.1291 0.0000 1.5805
F 13.8355 0.0000 0.4741
F 13.3769 0.0000 3.4222
```

***

PrErCrN3: relaxed, PBE-GGA.

## Properties
SG: P2_1/m, No. 11
Final energy, eV per formula unit: -50.5
DOS at the Fermi energy, states/eV per cell: 4.7
Total magnetization, Bohr magnetons per cell: 0.00

Cell and atoms, written as extended XYZ:
```
12
Lattice="7.3443 0.0000 0.0000 0.0000 3.4206 0.0000 -1.2835 0.0000 7.3510" Properties=species:S:1:pos:R:3 pbc="T T T"
Pr 1.1471 0.8552 1.3608
Pr 4.9138 2.5655 5.9902
Er 0.4054 0.8552 4.6742
Er 5.6555 2.5655 2.6768
Cr 1.7692 2.5655 6.7473
Cr 4.2917 0.8552 0.6037
N 0.5705 2.5655 3.0342
N 0.0040 2.5655 6.4162
N 2.4643 0.8552 6.1545
N 3.5966 2.5655 1.1966
N 6.0568 0.8552 0.9348
N 5.4903 0.8552 4.3168
```

***

LaPaTiIr2: relaxed, PBE-GGA.

## Properties
E_form, eV/atom: -0.65
SG: I-4m2, No. 119
Final energy, eV per formula unit: -43.3
DOS at the Fermi energy, states/eV per cell: 9.2
Total magnetization, Bohr magnetons per cell: 0.00

Cell and atoms, written as extended XYZ:
```
10
Lattice="4.6767 0.0000 0.0000 0.0000 4.6767 0.0000 0.0000 0.0000 10.4849" Properties=species:S:1:pos:R:3 pbc="T T T"
La 0.0000 0.0000 0.0000
La 2.3384 2.3384 5.2425
Pa 0.0000 2.3384 2.6212
Pa 2.3384 0.0000 7.8637
Ti 0.0000 2.3384 7.8637
Ti 2.3384 0.0000 2.6212
Ir 0.0000 0.0000 3.9015
Ir 0.0000 0.0000 6.5835
Ir 2.3384 2.3384 1.3410
Ir 2.3384 2.3384 9.1439
```

***

Ac6CoPt2: relaxed, PBE-GGA.

## Properties
E_form, eV/atom: -0.57
SG: P2_1/c, No. 14
Final energy, eV per formula unit: -48.9
DOS at the Fermi energy, states/eV per cell: 18.4
Total magnetization, Bohr magnetons per cell: 0.00

Cell and atoms, written as extended XYZ:
```
18
Lattice="7.2043 0.0000 0.0000 0.0000 7.8264 0.0000 -6.3316 0.0000 10.9614" Properties=species:S:1:pos:R:3 pbc="T T T"
Ac -0.9396 0.3890 2.6981
Ac -4.1054 3.5242 8.1788
Ac 1.2936 5.3543 0.8720
Ac -1.8722 6.3853 6.3527
Ac 2.3300 1.4128 0.7047
Ac -0.8358 2.5004 6.1854
Ac 1.7085 5.3261 4.7760
Ac -1.4573 6.4136 10.2567
Ac 2.7449 1.4411 4.6087
Ac -0.4209 2.4721 10.0894
Ac 4.9781 4.3022 2.7826
Ac 1.8123 7.4374 8.2633
Co 0.0000 0.0000 0.0000
Co -3.1658 3.9132 5.4807
Pt -2.5403 0.8881 8.5191
Pt 0.6255 3.0251 3.0384
Pt 0.2472 4.8013 7.9230
Pt 3.4130 6.9383 2.4423
```

***

CsRbPd: relaxed, PBE-GGA.

## Properties
E_form, eV/atom: 0.08
SG: F-43m, No. 216
Final energy, eV per formula unit: -6.8
Energy relative to the lowest polymorph listed for this composition, meV/atom: 40
Total magnetization, Bohr magnetons per cell: 0.00

Cell and atoms, written as extended XYZ:
```
12
Lattice="8.3565 0.0000 0.0000 0.0000 8.3565 0.0000 0.0000 0.0000 8.3565" Properties=species:S:1:pos:R:3 pbc="T T T"
Cs 0.0000 0.0000 0.0000
Cs 0.0000 4.1783 4.1783
Cs 4.1783 0.0000 4.1783
Cs 4.1783 4.1783 0.0000
Rb 0.0000 0.0000 4.1783
Rb 0.0000 4.1783 0.0000
Rb 4.1783 0.0000 0.0000
Rb 4.1783 4.1783 4.1783
Pd 2.0891 2.0891 2.0891
Pd 2.0891 6.2674 6.2674
Pd 6.2674 2.0891 6.2674
Pd 6.2674 6.2674 2.0891
```

***

Tm6AuSe5: relaxed, PBE-GGA.

## Properties
SG: C2/m, No. 12
Final energy, eV per formula unit: -66.2
DOS at the Fermi energy, states/eV per cell: 4.3
Total magnetization, Bohr magnetons per cell: 0.00

Cell and atoms, written as extended XYZ:
```
12
Lattice="3.5194 -6.0797 0.0000 3.5194 6.0797 0.0000 -2.3327 0.0000 6.6224" Properties=species:S:1:pos:R:3 pbc="T T T"
Tm 1.1476 1.9859 1.6077
Tm -0.0433 0.0000 4.9890
Tm 1.1476 -1.9859 1.6077
Tm 3.5586 1.9859 5.0147
Tm 4.7494 0.0000 1.6334
Tm 3.5586 -1.9859 5.0147
Au 0.0000 0.0000 0.0000
Se 2.3531 3.9798 3.3112
Se 3.5194 2.0069 0.0000
Se 2.3531 0.0000 3.3112
Se 3.5194 -2.0069 0.0000
Se 2.3531 -3.9798 3.3112
```